# 1
This record from Alexandria describes a relaxed MnCuSb3 crystal. The functional is PBE.

```
data_MnCuSb3
_chemical_formula_sum 'Mn1 Cu1 Sb3'
_space_group_name_H-M_alt 'P m -3 m'
_space_group_IT_number 221
_space_group_name_Hall '-P 4 2 3'
_cell_length_a 5.0174
_cell_length_b 5.0174
_cell_length_c 5.0174
_cell_angle_alpha 90.00
_cell_angle_beta 90.00
_cell_angle_gamma 90.00
loop_
_atom_site_label
_atom_site_fract_x
_atom_site_fract_y
_atom_site_fract_z
Mn1 0.0000 0.0000 0.0000
Cu1 0.5000 0.5000 0.5000
Sb1 0.0000 0.5000 0.5000
```

Values from the calculation:
total magnetization: 0.1 μB per formula unit
calculated volume: 25.26 Å³/atom
E_form (uncorrected): 1.14 eV/atom

=====

# 2
This record from Alexandria describes a relaxed MnCuSb2 crystal. The functional is PBE.

```
data_MnCuSb2
_chemical_formula_sum 'Mn1 Cu1 Sb2'
_space_group_name_H-M_alt 'P 4/m m m'
_space_group_IT_number 123
_space_group_name_Hall '-P 4 2'
_cell_length_a 3.5384
_cell_length_b 3.5384
_cell_length_c 6.1855
_cell_angle_alpha 90.00
_cell_angle_beta 90.00
_cell_angle_gamma 90.00
loop_
_atom_site_label
_atom_site_fract_x
_atom_site_fract_y
_atom_site_fract_z
Mn1 0.0000 0.0000 0.0000
Cu1 0.0000 0.0000 0.5000
Sb1 0.5000 0.5000 0.2459
```

Values from the calculation:
total magnetization: 3.2 μB per formula unit
calculated volume: 19.36 Å³/atom
E_form (uncorrected): 0.25 eV/atom

=====

# 3
This record from Alexandria describes a relaxed MnCuSb2 crystal. The functional is PBE.

```
data_MnCuSb2
_chemical_formula_sum 'Mn4 Cu4 Sb8'
_space_group_name_H-M_alt 'I -4 2 d'
_space_group_IT_number 122
_space_group_name_Hall 'I -4 2bw'
_cell_length_a 7.3865
_cell_length_b 7.3865
_cell_length_c 6.2539
_cell_angle_alpha 90.00
_cell_angle_beta 90.00
_cell_angle_gamma 90.00
loop_
_atom_site_label
_atom_site_fract_x
_atom_site_fract_y
_atom_site_fract_z
Mn1 0.0000 0.0000 0.0000
Cu1 0.0000 0.0000 0.5000
Sb1 0.2321 0.2500 0.6250
```

Values from the calculation:
total magnetization: 3.9 μB per formula unit
calculated volume: 21.33 Å³/atom
E_form (uncorrected): 0.31 eV/atom